Compound: PtWN2O
Source: Alexandria
Functional: PBE with a Hubbard U
Structure: relaxed

a b c (Å): 4.057 4.057 3.794
angles (deg): 90.00 90.00 90.00
Space group P4/mmm (No. 123)
Unique sites:
Pt (0.000, 0.000, 0.000)
W (0.500, 0.500, 0.500)
N (0.000, 0.500, 0.500)
O (0.500, 0.500, 0.000)

VASP energy: -6.445 eV/atom
M_tot: 0.09 μB per cell